No. 1
## P2SIO (PBE-GGA)

Data for an optimized crystal structure of P2SIO.

Cell lengths 5.2599, 5.2599, 4.9689 Å; angles 90.00, 90.00, 90.00 degrees
Last column: nearest neighbours and their distance in Å.
Space group P4/mmm (No. 123)
Asymmetric unit:
P 0.0000 0.5000 0.0000 [2 per cell]  2 I 2.63
S 0.0000 0.0000 0.5000 [1 per cell]  2 I 2.48
I 0.0000 0.0000 0.0000 [1 per cell]  2 S 2.48, 4 P 2.63
O 0.5000 0.5000 0.5000 [1 per cell]  8 P 3.62, 4 S 3.72

- Formation energy without anion corrections: 2.04 eV per atom

No. 2
## SbPI2O (PBE-GGA)

Data for an optimized crystal structure of SbPI2O.

Cell lengths 5.8556, 5.8556, 3.5741 Å; angles 90.00, 90.00, 90.00 degrees
Last column: nearest neighbours and their distance in Å.
Space group P4/mmm (No. 123)
Asymmetric unit:
Sb 0.0000 0.0000 0.0000 [1 per cell]  8 I 3.43, 2 Sb 3.57
P 0.5000 0.5000 0.5000 [1 per cell]  2 O 1.79
I 0.0000 0.5000 0.5000 [2 per cell]  2 P 2.93
O 0.5000 0.5000 0.0000 [1 per cell]  2 P 1.79

- Formation energy without anion corrections: 0.02 eV per atom

No. 3
## SbPIO2 (PBE-GGA)

Data for an optimized crystal structure of SbPIO2.

Cell lengths 4.1317, 4.1317, 5.2186 Å; angles 90.00, 90.00, 90.00 degrees
Last column: nearest neighbours and their distance in Å.
Space group P4/mmm (No. 123)
Asymmetric unit:
Sb 0.0000 0.0000 0.0000 [1 per cell]  4 I 2.92
P 0.5000 0.5000 0.5000 [1 per cell]  4 O 2.07
I 0.5000 0.5000 0.0000 [1 per cell]  2 P 2.61, 4 Sb 2.92
O 0.0000 0.5000 0.5000 [2 per cell]  2 P 2.07

- Formation energy without anion corrections: 0.27 eV per atom

No. 4
## SbPI2O (PBE-GGA)

Data for an optimized crystal structure of SbPI2O.

Cell lengths 5.1648, 5.1648, 4.5729 Å; angles 90.00, 90.00, 90.00 degrees
Last column: nearest neighbours and their distance in Å.
Space group P4/mmm (No. 123)
Asymmetric unit:
Sb 0.0000 0.0000 0.0000 [1 per cell]  2 O 2.29
P 0.5000 0.5000 0.0000 [1 per cell]  8 I 3.45, 4 Sb 3.65
I 0.0000 0.5000 0.5000 [2 per cell]  2 O 2.58
O 0.0000 0.0000 0.5000 [1 per cell]  2 Sb 2.29

- Formation energy without anion corrections: 0.71 eV per atom

No. 5
## SbPIO2 (PBE-GGA)

Data for an optimized crystal structure of SbPIO2.

Cell lengths 3.9785, 3.9785, 5.7204 Å; angles 90.00, 90.00, 90.00 degrees
Last column: nearest neighbours and their distance in Å.
Space group P4/mmm (No. 123)
Asymmetric unit:
Sb 0.0000 0.0000 0.0000 [1 per cell]  4 O 1.99
P 0.0000 0.0000 0.5000 [1 per cell]  4 I 2.81, 2 Sb 2.86
I 0.5000 0.5000 0.5000 [1 per cell]  4 P 2.81
O 0.0000 0.5000 0.0000 [2 per cell]  2 Sb 1.99

- Formation energy without anion corrections: -0.31 eV per atom

No. 6
## SbPI2O (PBE-GGA)

Data for an optimized crystal structure of SbPI2O.

Cell lengths 6.1277, 6.1277, 4.0717 Å; angles 90.00, 90.00, 90.00 degrees
Last column: nearest neighbours and their distance in Å.
Space group P4/mmm (No. 123)
Asymmetric unit:
Sb 0.0000 0.0000 0.0000 [1 per cell]  2 O 2.04
P 0.5000 0.5000 0.5000 [1 per cell]  8 I 3.68, 2 P 4.07
I 0.0000 0.5000 0.0000 [2 per cell]  2 Sb 3.06
O 0.0000 0.0000 0.5000 [1 per cell]  2 Sb 2.04

- Formation energy without anion corrections: 0.33 eV per atom

No. 7
## Sb2PIO (PBE-GGA)

Data for an optimized crystal structure of Sb2PIO.

Cell lengths 4.7867, 4.7867, 4.9649 Å; angles 90.00, 90.00, 90.00 degrees
Last column: nearest neighbours and their distance in Å.
Space group P4/mmm (No. 123)
Asymmetric unit:
Sb 0.0000 0.5000 0.0000 [2 per cell]  2 O 2.39
P 0.0000 0.0000 0.5000 [1 per cell]  4 I 3.38, 8 Sb 3.45
I 0.5000 0.5000 0.5000 [1 per cell]  2 O 2.48
O 0.5000 0.5000 0.0000 [1 per cell]  4 Sb 2.39, 2 I 2.48

- Formation energy without anion corrections: 0.53 eV per atom

No. 8
## SbPIO2 (PBE-GGA)

Data for an optimized crystal structure of SbPIO2.

Cell lengths 3.9715, 3.9715, 7.3103 Å; angles 90.00, 90.00, 90.00 degrees
Last column: nearest neighbours and their distance in Å.
Space group P4/mmm (No. 123)
Asymmetric unit:
Sb 0.0000 0.0000 0.0000 [1 per cell]  4 O 1.99
P 0.5000 0.5000 0.5000 [1 per cell]  4 I 2.81
I 0.0000 0.0000 0.5000 [1 per cell]  4 P 2.81
O 0.0000 0.5000 0.0000 [2 per cell]  2 Sb 1.99

- Formation energy without anion corrections: -0.06 eV per atom

No. 9
## Sb2PIO (PBE-GGA)

Data for an optimized crystal structure of Sb2PIO.

Cell lengths 5.4118, 5.4118, 3.8335 Å; angles 90.00, 90.00, 90.00 degrees
Last column: nearest neighbours and their distance in Å.
Space group P4/mmm (No. 123)
Asymmetric unit:
Sb 0.0000 0.5000 0.0000 [2 per cell]  2 O 2.71
P 0.0000 0.0000 0.5000 [1 per cell]  2 O 1.92
I 0.5000 0.5000 0.5000 [1 per cell]  8 Sb 3.32
O 0.0000 0.0000 0.0000 [1 per cell]  2 P 1.92

- Formation energy without anion corrections: 0.42 eV per atom

No. 10
## SbPIO2 (PBE-GGA)

Data for an optimized crystal structure of SbPIO2.

Cell lengths 4.0243, 4.0243, 5.9215 Å; angles 90.00, 90.00, 90.00 degrees
Last column: nearest neighbours and their distance in Å.
Space group P4/mmm (No. 123)
Asymmetric unit:
Sb 0.0000 0.0000 0.0000 [1 per cell]  4 P 2.85
P 0.5000 0.5000 0.0000 [1 per cell]  4 Sb 2.85, 2 I 2.96
I 0.5000 0.5000 0.5000 [1 per cell]  4 O 2.01
O 0.0000 0.5000 0.5000 [2 per cell]  2 I 2.01

- Formation energy without anion corrections: 0.28 eV per atom

No. 11
## SiP2IO (PBE-GGA)

Data for an optimized crystal structure of SiP2IO.

Cell lengths 5.1472, 5.1472, 3.9136 Å; angles 90.00, 90.00, 90.00 degrees
Last column: nearest neighbours and their distance in Å.
Space group P4/mmm (No. 123)
Asymmetric unit:
Si 0.0000 0.0000 0.0000 [1 per cell]  8 P 3.23
P 0.0000 0.5000 0.5000 [2 per cell]  2 I 2.57
I 0.5000 0.5000 0.5000 [1 per cell]  2 O 1.96
O 0.5000 0.5000 0.0000 [1 per cell]  2 I 1.96

- Formation energy without anion corrections: 1.12 eV per atom

No. 12
## SiPIO2 (PBE-GGA)

Data for an optimized crystal structure of SiPIO2.

Cell lengths 3.9625, 3.9625, 5.6742 Å; angles 90.00, 90.00, 90.00 degrees
Last column: nearest neighbours and their distance in Å.
Space group P4/mmm (No. 123)
Asymmetric unit:
Si 0.0000 0.0000 0.0000 [1 per cell]  4 P 2.80
P 0.5000 0.5000 0.0000 [1 per cell]  4 Si 2.80, 2 I 2.84
I 0.5000 0.5000 0.5000 [1 per cell]  4 O 1.98
O 0.0000 0.5000 0.5000 [2 per cell]  2 I 1.98

- Formation energy without anion corrections: 0.49 eV per atom

Record order is preserved below.
VASP energy: -11.249, -17.502, -19.667, -14.022, -22.559, -15.951, -17.488, -21.306, -18.065, -19.579, -17.163, -19.864 eV per cell
Record order is preserved below.
Mass density: 2.86, 5.73, 5.81, 5.75, 5.72, 4.59, 6.09, 4.49, 6.17, 5.40, 3.73, 4.06 g/cm3
Record order is preserved below.
Energy above the most stable polymorph in this dataset: 1.376, 0.000, 0.578, 0.696, 0.000, 0.310, 0.115, 0.251, 0.000, 0.596, 1.083, 1.051 eV/atom